A plane-wave DFT calculation with GGA-PBE was carried out for a relaxed structure of Sm8Te4IrPt3.

```
16
Lattice="8.444 0.000 0.000 0.000 8.900 0.311 -4.222 -4.215 5.976" Properties=species:S:1:pos:R:3 pbc="T T T"
Te 4.222 0.000 0.000
Te 2.111 -2.107 2.988
Te -2.111 -2.107 2.988
Te 0.000 0.000 0.000
Sm -2.156 2.207 6.063
Sm 2.156 2.207 6.063
Sm 0.000 0.348 3.228
Sm 2.066 2.477 0.224
Sm 4.222 4.337 3.059
Sm 4.222 0.325 3.276
Sm 6.378 2.477 0.224
Sm 0.000 4.359 3.011
Ir 0.000 4.450 0.155
Pt 2.111 2.342 3.144
Pt -2.111 2.342 3.144
Pt 4.222 4.450 0.155
```

Results
The calculation puts the theoretical density at 8.988 g cm⁻³. The calculation puts the spin magnetization at 0.000 μB/f.u. For the uncorrected formation energy, the calculation gives -1.214 eV per atom.